VASP calculation (PBE) on an optimized crystal structure of Zn2SeCl.

Summary:
SG   Cmm2
Crystal system   orthorhombic
Formation energy from raw total energies   -0.588 eV/f.u.
Relative energy among the computed polymorphs   0.5197 eV per atom
E_tot   -2.117 eV per atom

Cell lengths 3.6071, 5.5472, 9.1862 Å; angles 90.00, 90.00, 90.00 degrees
Closest atoms and distances in Å follow each position.
Fractional positions:
Zn 0.0000 0.0000 0.0000  2 Se 2.48, 2 Zn 2.76
Zn 0.0000 0.5000 0.2276  2 Cl 2.39
Zn 0.5000 0.0000 0.2276  2 Cl 2.39
Zn 0.5000 0.5000 0.0000  2 Se 2.48, 2 Zn 2.76
Se 0.0000 0.5000 0.8149  2 Zn 2.48
Se 0.5000 0.0000 0.8149  2 Zn 2.48
Cl 0.0000 0.0000 0.3976  2 Zn 2.39
Cl 0.5000 0.5000 0.3976  2 Zn 2.39



VASP calculation (PBE) on an optimized crystal structure of Zn2SeCl.

Summary:
SG   P4/mmm
Crystal system   tetragonal
Formation energy from raw total energies   -0.348 eV/f.u.
Relative energy among the computed polymorphs   0.5795 eV per atom
E_tot   -2.057 eV per atom

Cell lengths 3.3963, 3.3963, 6.7951 Å; angles 90.00, 90.00, 90.00 degrees
Closest atoms and distances in Å follow each position.
Fractional positions:
Zn 0.0000 0.0000 0.2110  4 Se 2.80, 1 Zn 2.87, 4 Cl 3.10
Zn 0.0000 0.0000 0.7890  4 Se 2.80, 1 Zn 2.87, 4 Cl 3.10
Se 0.5000 0.5000 0.0000  8 Zn 2.80
Cl 0.5000 0.5000 0.5000  8 Zn 3.10, 4 Cl 3.40, 2 Se 3.40



VASP calculation (PBE) on an optimized crystal structure of Zn2SeCl.

Summary:
SG   Cm
Crystal system   monoclinic
Formation energy from raw total energies   -1.776 eV/f.u.
Relative energy among the computed polymorphs   0.2226 eV per atom
E_tot   -2.414 eV per atom

Cell lengths 6.9524, 3.9590, 6.6474 Å; angles 90.00, 90.02, 90.00 degrees
Closest atoms and distances in Å follow each position.
Fractional positions:
Zn 0.0000 0.0000 0.0000  1 Cl 2.36, 3 Se 2.54
Zn 0.1647 0.5000 0.5967  3 Cl 2.78-2.87, 3 Se 2.80-2.82
Zn 0.5000 0.5000 0.0000  1 Cl 2.36, 3 Se 2.54
Zn 0.6647 0.0000 0.5967  3 Cl 2.78-2.87, 3 Se 2.80-2.82
Se 0.3311 0.0000 0.8378  6 Zn 2.54-2.82
Se 0.8311 0.5000 0.8378  6 Zn 2.54-2.82
Cl 0.0063 0.0000 0.3550  1 Zn 2.36
Cl 0.5063 0.5000 0.3550  1 Zn 2.36



VASP calculation (PBE) on an optimized crystal structure of ZnSeCl2.

Summary:
SG   I-4m2
Crystal system   tetragonal
Formation energy from raw total energies   0.042 eV/f.u.
Relative energy among the computed polymorphs   0.5708 eV per atom
E_tot   -2.103 eV per atom

Cell lengths 3.7374, 3.7374, 13.0983 Å; angles 90.00, 90.00, 90.00 degrees
Closest atoms and distances in Å follow each position.
Fractional positions:
Zn 0.0000 0.0000 0.0000  4 Cl 2.64
Zn 0.5000 0.5000 0.5000  4 Cl 2.64
Se 0.0000 0.5000 0.2500  4 Cl 2.64
Se 0.5000 0.0000 0.7500  4 Cl 2.64
Cl 0.0000 0.0000 0.5000  4 Zn 2.64
Cl 0.0000 0.5000 0.7500  4 Se 2.64
Cl 0.5000 0.0000 0.2500  4 Se 2.64
Cl 0.5000 0.5000 0.0000  4 Zn 2.64



VASP calculation (PBE) on an optimized crystal structure of Zn2SeCl.

Summary:
SG   C2
Crystal system   monoclinic
Formation energy from raw total energies   -2.543 eV/f.u.
Relative energy among the computed polymorphs   0.0308 eV per atom
E_tot   -2.606 eV per atom

Cell lengths 10.5080, 5.9690, 7.5274 Å; angles 90.00, 130.18, 90.00 degrees
Closest atoms and distances in Å follow each position.
Fractional positions:
Zn 0.0000 0.0000 0.0000  2 Cl 2.38, 2 Se 2.46
Zn 0.0000 0.0517 0.5000  2 Se 2.47, 2 Zn 2.56
Zn 0.0614 0.4211 0.3947  1 Cl 2.46, 2 Se 2.50-2.62, 2 Zn 2.56-2.61
Zn 0.4386 0.9211 0.6053  1 Cl 2.46, 2 Se 2.50-2.62, 2 Zn 2.56-2.61
Zn 0.5000 0.5000 0.0000  2 Cl 2.38, 2 Se 2.46
Zn 0.5000 0.5517 0.5000  2 Se 2.47, 2 Zn 2.56
Zn 0.5614 0.9211 0.3947  1 Cl 2.46, 2 Se 2.50-2.62, 2 Zn 2.56-2.61
Zn 0.9386 0.4211 0.6053  1 Cl 2.46, 2 Se 2.50-2.62, 2 Zn 2.56-2.61
Se 0.1247 0.8197 0.3746  4 Zn 2.46-2.62
Se 0.3753 0.3197 0.6254  4 Zn 2.46-2.62
Se 0.6247 0.3197 0.3746  4 Zn 2.46-2.62
Se 0.8753 0.8197 0.6254  4 Zn 2.46-2.62
Cl 0.1592 0.2862 0.0036  2 Zn 2.38-2.46
Cl 0.3408 0.7862 0.9964  2 Zn 2.38-2.46
Cl 0.6592 0.7862 0.0036  2 Zn 2.38-2.46
Cl 0.8408 0.2862 0.9964  2 Zn 2.38-2.46



VASP calculation (PBE) on an optimized crystal structure of Zn2SeCl.

Summary:
SG   Fm-3m
Crystal system   cubic
Formation energy from raw total energies   -0.450 eV/f.u.
Relative energy among the computed polymorphs   0.5540 eV per atom
E_tot   -2.082 eV per atom

Cell lengths 6.6860, 6.6860, 6.6860 Å; angles 90.00, 90.00, 90.00 degrees
Closest atoms and distances in Å follow each position.
Fractional positions:
Zn 0.2500 0.2500 0.2500  4 Cl 2.90, 4 Se 2.90
Zn 0.2500 0.2500 0.7500  4 Cl 2.90, 4 Se 2.90
Zn 0.2500 0.7500 0.2500  4 Cl 2.90, 4 Se 2.90
Zn 0.2500 0.7500 0.7500  4 Cl 2.90, 4 Se 2.90
Zn 0.7500 0.2500 0.2500  4 Cl 2.90, 4 Se 2.90
Zn 0.7500 0.2500 0.7500  4 Cl 2.90, 4 Se 2.90
Zn 0.7500 0.7500 0.2500  4 Cl 2.90, 4 Se 2.90
Zn 0.7500 0.7500 0.7500  4 Se 2.90, 4 Cl 2.90
Se 0.0000 0.0000 0.0000  8 Zn 2.90
Se 0.0000 0.5000 0.5000  8 Zn 2.90
Se 0.5000 0.0000 0.5000  8 Zn 2.90
Se 0.5000 0.5000 0.0000  8 Zn 2.90
Cl 0.0000 0.0000 0.5000  8 Zn 2.90
Cl 0.0000 0.5000 0.0000  8 Zn 2.90
Cl 0.5000 0.0000 0.0000  8 Zn 2.90
Cl 0.5000 0.5000 0.5000  8 Zn 2.90



VASP calculation (PBE) on an optimized crystal structure of ZnSeCl3.

Summary:
SG   Pm-3m
Crystal system   cubic
Formation energy from raw total energies   -0.866 eV/f.u.
Relative energy among the computed polymorphs   0.0000 eV per atom
E_tot   -2.233 eV per atom

Cell lengths 4.9371, 4.9371, 4.9371 Å; angles 90.00, 90.00, 90.00 degrees
Closest atoms and distances in Å follow each position.
Fractional positions:
Zn 0.0000 0.0000 0.0000  6 Cl 2.47
Se 0.5000 0.5000 0.5000  12 Cl 3.49
Cl 0.0000 0.0000 0.5000  2 Zn 2.47
Cl 0.0000 0.5000 0.0000  2 Zn 2.47
Cl 0.5000 0.0000 0.0000  2 Zn 2.47



VASP calculation (PBE) on an optimized crystal structure of Zn2SeCl.

Summary:
SG   C2
Crystal system   monoclinic
Formation energy from raw total energies   -2.537 eV/f.u.
Relative energy among the computed polymorphs   0.0323 eV per atom
E_tot   -2.604 eV per atom

Cell lengths 12.3112, 5.5384, 7.3597 Å; angles 90.00, 121.43, 90.00 degrees
Closest atoms and distances in Å follow each position.
Fractional positions:
Zn 0.0000 0.0000 0.0000  2 Se 2.44, 2 Zn 2.57
Zn 0.0000 0.0529 0.5000  2 Se 2.42, 2 Cl 2.44
Zn 0.0096 0.5961 0.1790  1 Cl 2.31, 1 Se 2.41, 2 Zn 2.52-2.57
Zn 0.4904 0.0961 0.8210  1 Cl 2.31, 1 Se 2.41, 2 Zn 2.52-2.57
Zn 0.5000 0.5000 0.0000  2 Se 2.44, 2 Zn 2.57
Zn 0.5000 0.5529 0.5000  2 Se 2.42, 2 Cl 2.44
Zn 0.5096 0.0961 0.1790  1 Cl 2.31, 1 Se 2.41, 2 Zn 2.52-2.57
Zn 0.9904 0.5961 0.8210  1 Cl 2.31, 1 Se 2.41, 2 Zn 2.52-2.57
Se 0.1043 0.2304 0.8512  3 Zn 2.41-2.44
Se 0.3957 0.7304 0.1488  3 Zn 2.41-2.44
Se 0.6043 0.7304 0.8512  3 Zn 2.41-2.44
Se 0.8957 0.2304 0.1488  3 Zn 2.41-2.44
Cl 0.1486 0.7520 0.5138  2 Zn 2.31-2.44
Cl 0.3514 0.2520 0.4862  2 Zn 2.31-2.44
Cl 0.6486 0.2520 0.5138  2 Zn 2.31-2.44
Cl 0.8514 0.7520 0.4862  2 Zn 2.31-2.44